No. 1
Material: LiBiSbIr
Method: DFT, PBE
State: optimized geometry

Unit cell a=4.834 b=4.834 c=4.834 alpha=60.00 beta=60.00 gamma=60.00
Sites, in units of the cell vectors:
1 Li 0.000 0.000 0.000
2 Bi 0.250 0.250 0.250
3 Sb 0.750 0.750 0.750
4 Ir 0.500 0.500 0.500

Symmetry: F-43m (216)
Uncorrected energy: -19.3 eV for the cell shown
Raw formation energy: -0.49 eV per formula unit
Spin magnetization: 0.00 μB/f.u.

***

No. 2
Material: V6Cr12W
Method: DFT, PBE
State: optimized geometry

Unit cell a=6.278 b=6.278 c=6.621 alpha=90.73 beta=90.73 gamma=75.83
Sites, in units of the cell vectors:
1 V 0.056 0.712 0.918
2 V 0.278 0.278 0.797
3 V 0.288 0.944 0.082
4 V 0.712 0.056 0.918
5 V 0.722 0.722 0.203
6 V 0.944 0.288 0.082
7 Cr 0.042 0.042 0.695
8 Cr 0.044 0.332 0.446
9 Cr 0.170 0.540 0.212
10 Cr 0.332 0.044 0.446
11 Cr 0.337 0.663 0.500
12 Cr 0.460 0.830 0.788
13 Cr 0.540 0.170 0.212
14 Cr 0.663 0.337 0.500
15 Cr 0.668 0.956 0.554
16 Cr 0.830 0.460 0.788
17 Cr 0.956 0.668 0.554
18 Cr 0.958 0.958 0.305
19 W 0.500 0.500 0.000

Energy of formation from the pure elements: 45 kJ per mole of atoms
Symmetry: C2/m (12)
Uncorrected energy: -174.3 eV for the cell shown
Spin magnetization: 0.00 μB/f.u.

***

No. 3
Material: CsGaSnAs2
Method: DFT, PBE
State: optimized geometry

Unit cell a=5.145 b=5.145 c=5.913 alpha=90.00 beta=90.00 gamma=90.00
Sites, in units of the cell vectors:
1 Cs 0.000 0.000 0.000
2 Ga 0.000 0.000 0.500
3 Sn 0.500 0.500 0.000
4 As 0.000 0.500 0.500
5 As 0.500 0.000 0.500

Energy of formation from the pure elements: 49 kJ per mole of atoms
Symmetry: P4/mmm (123)
Uncorrected energy: -14.7 eV for the cell shown
Spin magnetization: 0.00 μB/f.u.

***

No. 4
Material: Ba2CaF
Method: DFT, PBE
State: optimized geometry

Unit cell a=10.399 b=10.399 c=10.399 alpha=23.55 beta=23.55 gamma=23.55
Sites, in units of the cell vectors:
1 Ba 0.221 0.221 0.221
2 Ba 0.779 0.779 0.779
3 Ca 0.000 0.000 0.000
4 F 0.500 0.500 0.500

Symmetry: R-3m (166)
Uncorrected energy: -12.6 eV for the cell shown
Raw formation energy: -4.87 eV per formula unit
Spin magnetization: 0.96 μB/f.u.
Relative energy among the computed polymorphs: 0.064 eV per atom

***

No. 5
Material: Rb3BaAg
Method: DFT, PBE
State: optimized geometry

Unit cell a=7.037 b=7.037 c=7.037 alpha=90.00 beta=90.00 gamma=90.00
Sites, in units of the cell vectors:
1 Rb 0.000 0.000 0.500
2 Rb 0.000 0.500 0.000
3 Rb 0.500 0.000 0.000
4 Ba 0.500 0.500 0.500
5 Ag 0.000 0.000 0.000

Energy of formation from the pure elements: 19 kJ per mole of atoms
Symmetry: Pm-3m (221)
Uncorrected energy: -6.7 eV for the cell shown
Spin magnetization: 1.04 μB/f.u.
Relative energy among the computed polymorphs: 0.000 eV per atom

***

No. 6
Material: HoThRuAu
Method: DFT, PBE
State: optimized geometry

Unit cell a=5.054 b=5.054 c=5.054 alpha=60.00 beta=60.00 gamma=60.00
Sites, in units of the cell vectors:
1 Ho 0.000 0.000 0.000
2 Th 0.500 0.500 0.500
3 Ru 0.250 0.250 0.250
4 Au 0.750 0.750 0.750

Energy of formation from the pure elements: -49 kJ per mole of atoms
Symmetry: F-43m (216)
Uncorrected energy: -26.6 eV for the cell shown
Spin magnetization: 0.00 μB/f.u.

***

No. 7
Material: Zr4Al16Ni3
Method: DFT, PBE
State: optimized geometry

Unit cell a=5.908 b=5.908 c=10.876 alpha=90.00 beta=90.00 gamma=90.00
Sites, in units of the cell vectors:
1 Zr 0.000 0.500 0.188
2 Zr 0.000 0.500 0.812
3 Zr 0.500 0.000 0.188
4 Zr 0.500 0.000 0.812
5 Al 0.000 0.000 0.197
6 Al 0.000 0.000 0.803
7 Al 0.223 0.223 0.000
8 Al 0.223 0.777 0.000
9 Al 0.246 0.246 0.378
10 Al 0.246 0.246 0.622
11 Al 0.246 0.754 0.378
12 Al 0.246 0.754 0.622
13 Al 0.500 0.500 0.216
14 Al 0.500 0.500 0.784
15 Al 0.754 0.246 0.378
16 Al 0.754 0.246 0.622
17 Al 0.754 0.754 0.378
18 Al 0.754 0.754 0.622
19 Al 0.777 0.223 0.000
20 Al 0.777 0.777 0.000
21 Ni 0.000 0.500 0.500
22 Ni 0.500 0.000 0.500
23 Ni 0.500 0.500 0.000

Energy of formation from the pure elements: -44 kJ per mole of atoms
Symmetry: P4/mmm (123)
Uncorrected energy: -121.8 eV for the cell shown
Spin magnetization: 0.00 μB/f.u.

***

No. 8
Material: TcOsPb2O
Method: DFT, PBE
State: optimized geometry

Unit cell a=4.976 b=4.976 c=3.785 alpha=90.00 beta=90.00 gamma=90.00
Sites, in units of the cell vectors:
1 Tc 0.000 0.000 0.000
2 Os 0.500 0.500 0.000
3 Pb 0.000 0.500 0.500
4 Pb 0.500 0.000 0.500
5 O 0.000 0.000 0.500

Symmetry: P4/mmm (123)
Uncorrected energy: -30.9 eV for the cell shown
Raw formation energy: 3.09 eV per formula unit
Spin magnetization: 0.47 μB/f.u.